Record 1
DFT (PBEsol) results for crystalline LiAg2Ir at its relaxed geometry.

Output
density: 11440 kg/m3
calculated volume: 60.2 Å³/cell
uncorrected energy: -4.496 eV/atom

```
data_LiAg2Ir
_cell_length_a 2.669
_cell_length_b 4.853
_cell_length_c 4.887
_cell_angle_alpha 97.96
_cell_angle_beta 90.00
_cell_angle_gamma 105.96
_space_group_name_H-M_alt 'P 1'
_space_group_IT_number 1
loop_
_space_group_symop_operation_xyz
'x,y,z'
loop_
_atom_site_label
_atom_site_type_symbol
_atom_site_fract_x
_atom_site_fract_y
_atom_site_fract_z
Ag1 Ag 0.001 0.002 0.995
Ag2 Ag 0.753 0.506 0.263
Ir1 Ir 0.500 0.000 0.500
Li1 Li 0.246 0.492 0.742
```



Record 2
DFT (PBEsol) results for crystalline LiAg2Ir at its relaxed geometry.

Output
density: 10700 kg/m3
calculated volume: 128.8 Å³/cell
uncorrected energy: -4.031 eV/atom

```
data_LiAg2Ir
_cell_length_a 3.718
_cell_length_b 3.718
_cell_length_c 9.681
_cell_angle_alpha 101.07
_cell_angle_beta 101.07
_cell_angle_gamma 90.00
_space_group_name_H-M_alt 'P 1'
_space_group_IT_number 1
loop_
_space_group_symop_operation_xyz
'x,y,z'
loop_
_atom_site_label
_atom_site_type_symbol
_atom_site_fract_x
_atom_site_fract_y
_atom_site_fract_z
Ir1 Ir 0.250 0.750 0.500
Ir2 Ir 0.000 0.000 0.000
Ag1 Ag 0.376 0.875 0.250
Ag2 Ag 0.874 0.375 0.250
Ag3 Ag 0.125 0.126 0.750
Ag4 Ag 0.625 0.624 0.750
Li1 Li 0.750 0.250 0.500
Li2 Li 0.500 0.500 0.000
```



Record 3
DFT (PBEsol) results for crystalline LiAgIr2 at its relaxed geometry.

Output
density: 14395 kg/m3
calculated volume: 57.6 Å³/cell
uncorrected energy: -6.138 eV/atom

```
data_LiAgIr2
_cell_length_a 2.665
_cell_length_b 4.618
_cell_length_c 5.372
_cell_angle_alpha 115.06
_cell_angle_beta 103.72
_cell_angle_gamma 91.45
_space_group_name_H-M_alt 'P 1'
_space_group_IT_number 1
loop_
_space_group_symop_operation_xyz
'x,y,z'
loop_
_atom_site_label
_atom_site_type_symbol
_atom_site_fract_x
_atom_site_fract_y
_atom_site_fract_z
Ag1 Ag 0.000 0.500 0.000
Ir1 Ir 0.000 0.000 0.500
Ir2 Ir 0.500 0.500 0.500
Li1 Li 0.500 0.000 0.000
```



Record 4
DFT (PBEsol) results for crystalline LiAgIr at its relaxed geometry.

Output
ΔE to the lowest computed polymorph: 0.615 eV per atom
density: 11588 kg/m3
calculated volume: 44.0 Å³/cell
uncorrected energy: -4.279 eV/atom

```
data_LiAgIr
_cell_length_a 3.963
_cell_length_b 3.963
_cell_length_c 3.963
_cell_angle_alpha 60.00
_cell_angle_beta 60.00
_cell_angle_gamma 60.00
_space_group_name_H-M_alt 'P 1'
_space_group_IT_number 1
loop_
_space_group_symop_operation_xyz
'x,y,z'
loop_
_atom_site_label
_atom_site_type_symbol
_atom_site_fract_x
_atom_site_fract_y
_atom_site_fract_z
Ir1 Ir 0.500 0.500 0.500
Ag1 Ag 0.000 0.000 0.000
Li1 Li 0.750 0.750 0.750
```